1 | The following is a DFT calculation (PBE) of a relaxed La2MnBr crystal.

Summary:
- V: 125.5 Å³ per cell
- DOS(E_F): 3.19 states/eV per cell

Geometry as CIF:
```
data_La2MnBr
_chemical_formula_sum 'La2 Mn1 Br1'
_cell_length_a 3.6119
_cell_length_b 3.6119
_cell_length_c 9.6235
_cell_angle_alpha 90.00
_cell_angle_beta 90.00
_cell_angle_gamma 90.00
_space_group_name_H-M_alt 'P 1'
_space_group_IT_number 1
_space_group_name_Hall 'P 1'
loop_
_atom_site_label
_atom_site_fract_x
_atom_site_fract_y
_atom_site_fract_z
_atom_site_occupancy
La1 0.0000 0.0000 0.0000 1
La2 0.5000 0.5000 0.3336 1
Mn1 0.0000 0.0000 0.5338 1
Br1 0.5000 0.5000 0.8027 1
```

2 | The following is a DFT calculation (PBE) of a relaxed La2MnBr crystal.

Summary:
- V: 106.0 Å³ per cell
- DOS(E_F): 2.78 states/eV per cell

Geometry as CIF:
```
data_La2MnBr
_chemical_formula_sum 'La2 Mn1 Br1'
_cell_length_a 4.8916
_cell_length_b 6.0521
_cell_length_c 6.0521
_cell_angle_alpha 36.27
_cell_angle_beta 90.00
_cell_angle_gamma 90.00
_space_group_name_H-M_alt 'P 1'
_space_group_IT_number 1
_space_group_name_Hall 'P 1'
loop_
_atom_site_label
_atom_site_fract_x
_atom_site_fract_y
_atom_site_fract_z
_atom_site_occupancy
La1 0.0000 0.0000 0.0000 1
La2 0.5000 0.2855 0.2855 1
Mn1 0.0000 0.8071 0.8071 1
Br1 0.5000 0.5521 0.5521 1
```

Least stable structure: 1

1 | The following is a DFT calculation (PBE) of a relaxed La2MnBr crystal.

Summary:
- V: 109.9 Å³ per cell
- DOS(E_F): 5.26 states/eV per cell

Geometry as CIF:
```
data_La2MnBr
_chemical_formula_sum 'La2 Mn1 Br1'
_cell_length_a 6.6394
_cell_length_b 6.6394
_cell_length_c 6.6394
_cell_angle_alpha 142.05
_cell_angle_beta 142.05
_cell_angle_gamma 54.75
_space_group_name_H-M_alt 'P 1'
_space_group_IT_number 1
_space_group_name_Hall 'P 1'
loop_
_atom_site_label
_atom_site_fract_x
_atom_site_fract_y
_atom_site_fract_z
_atom_site_occupancy
La1 0.0000 0.0000 0.0000 1
La2 0.7500 0.2500 0.5000 1
Mn1 0.2500 0.7500 0.5000 1
Br1 0.5000 0.5000 0.0000 1
```

2 | The following is a DFT calculation (PBE) of a relaxed La2MnBr crystal.

Summary:
- V: 108.7 Å³ per cell
- DOS(E_F): 2.16 states/eV per cell

Geometry as CIF:
```
data_La2MnBr
_chemical_formula_sum 'La2 Mn1 Br1'
_cell_length_a 8.4821
_cell_length_b 8.4821
_cell_length_c 8.4821
_cell_angle_alpha 155.63
_cell_angle_beta 154.40
_cell_angle_gamma 35.64
_space_group_name_H-M_alt 'P 1'
_space_group_IT_number 1
_space_group_name_Hall 'P 1'
loop_
_atom_site_label
_atom_site_fract_x
_atom_site_fract_y
_atom_site_fract_z
_atom_site_occupancy
La1 0.0000 0.0000 0.0000 1
La2 0.8032 0.3032 0.5000 1
Mn1 0.4088 0.9088 0.5000 1
Br1 0.6377 0.6377 0.0000 1
```

3 | The following is a DFT calculation (PBE) of a relaxed La2MnBr crystal.

Summary:
- V: 103.9 Å³ per cell
- DOS(E_F): 3.05 states/eV per cell

Geometry as CIF:
```
data_La2MnBr
_chemical_formula_sum 'La2 Mn1 Br1'
_cell_length_a 3.5811
_cell_length_b 3.5811
_cell_length_c 8.3906
_cell_angle_alpha 90.00
_cell_angle_beta 90.00
_cell_angle_gamma 105.10
_space_group_name_H-M_alt 'P 1'
_space_group_IT_number 1
_space_group_name_Hall 'P 1'
loop_
_atom_site_label
_atom_site_fract_x
_atom_site_fract_y
_atom_site_fract_z
_atom_site_occupancy
La1 0.0000 0.0000 0.2016 1
La2 0.0000 0.0000 0.7984 1
Mn1 0.5000 0.5000 0.0000 1
Br1 0.5000 0.5000 0.5000 1
```

Least stable structure: 1

1 | The following is a DFT calculation (PBE) of a relaxed La2MnBr crystal.

Summary:
- V: 117.3 Å³ per cell
- DOS(E_F): 4.10 states/eV per cell

Geometry as CIF:
```
data_La2MnBr
_chemical_formula_sum 'La2 Mn1 Br1'
_cell_length_a 4.1180
_cell_length_b 4.1180
_cell_length_c 8.3890
_cell_angle_alpha 101.69
_cell_angle_beta 101.69
_cell_angle_gamma 57.94
_space_group_name_H-M_alt 'P 1'
_space_group_IT_number 1
_space_group_name_Hall 'P 1'
loop_
_atom_site_label
_atom_site_fract_x
_atom_site_fract_y
_atom_site_fract_z
_atom_site_occupancy
La1 0.2391 0.2391 0.2942 1
La2 0.7609 0.7609 0.7058 1
Mn1 0.0000 0.0000 0.5000 1
Br1 0.5000 0.5000 0.0000 1
```

2 | The following is a DFT calculation (PBE) of a relaxed La2MnBr crystal.

Summary:
- V: 112.9 Å³ per cell
- DOS(E_F): 2.26 states/eV per cell

Geometry as CIF:
```
data_La2MnBr
_chemical_formula_sum 'La2 Mn1 Br1'
_cell_length_a 4.3238
_cell_length_b 4.3238
_cell_length_c 6.0416
_cell_angle_alpha 90.00
_cell_angle_beta 90.00
_cell_angle_gamma 90.00
_space_group_name_H-M_alt 'P 1'
_space_group_IT_number 1
_space_group_name_Hall 'P 1'
loop_
_atom_site_label
_atom_site_fract_x
_atom_site_fract_y
_atom_site_fract_z
_atom_site_occupancy
La1 0.0000 0.0000 0.0000 1
La2 0.5000 0.5000 0.4141 1
Mn1 0.0000 0.0000 0.3720 1
Br1 0.5000 0.5000 0.9129 1
```

Least stable structure: 2

1 | The following is a DFT calculation (PBE) of a relaxed La2MnBr crystal.

Summary:
- V: 108.2 Å³ per cell
- DOS(E_F): 6.31 states/eV per cell

Geometry as CIF:
```
data_La2MnBr
_chemical_formula_sum 'La2 Mn1 Br1'
_cell_length_a 5.3482
_cell_length_b 5.3482
_cell_length_c 5.3482
_cell_angle_alpha 60.00
_cell_angle_beta 60.00
_cell_angle_gamma 60.00
_space_group_name_H-M_alt 'P 1'
_space_group_IT_number 1
_space_group_name_Hall 'P 1'
loop_
_atom_site_label
_atom_site_fract_x
_atom_site_fract_y
_atom_site_fract_z
_atom_site_occupancy
La1 0.0000 0.0000 0.0000 1
La2 0.2500 0.2500 0.2500 1
Mn1 0.7500 0.7500 0.7500 1
Br1 0.5000 0.5000 0.5000 1
```

2 | The following is a DFT calculation (PBE) of a relaxed La2MnBr crystal.

Summary:
- V: 111.0 Å³ per cell
- DOS(E_F): 5.19 states/eV per cell

Geometry as CIF:
```
data_La2MnBr
_chemical_formula_sum 'La2 Mn1 Br1'
_cell_length_a 5.5626
_cell_length_b 5.5626
_cell_length_c 5.5626
_cell_angle_alpha 131.96
_cell_angle_beta 115.27
_cell_angle_gamma 84.52
_space_group_name_H-M_alt 'P 1'
_space_group_IT_number 1
_space_group_name_Hall 'P 1'
loop_
_atom_site_label
_atom_site_fract_x
_atom_site_fract_y
_atom_site_fract_z
_atom_site_occupancy
La1 0.2366 0.2366 0.0000 1
La2 0.7634 0.7634 0.0000 1
Mn1 0.0000 0.5000 0.5000 1
Br1 0.5000 0.0000 0.5000 1
```

Least stable structure: 1

1 | The following is a DFT calculation (PBE) of a relaxed LaMnBr2 crystal.

Summary:
- V: 117.9 Å³ per cell
- DOS(E_F): 2.12 states/eV per cell

Geometry as CIF:
```
data_LaMnBr2
_chemical_formula_sum 'La1 Mn1 Br2'
_cell_length_a 3.7155
_cell_length_b 3.7155
_cell_length_c 9.7587
_cell_angle_alpha 90.00
_cell_angle_beta 90.00
_cell_angle_gamma 118.96
_space_group_name_H-M_alt 'P 1'
_space_group_IT_number 1
_space_group_name_Hall 'P 1'
loop_
_atom_site_label
_atom_site_fract_x
_atom_site_fract_y
_atom_site_fract_z
_atom_site_occupancy
La1 0.0000 0.0000 0.0000 1
Mn1 0.0000 0.0000 0.5000 1
Br1 0.5000 0.5000 0.2441 1
Br2 0.5000 0.5000 0.7559 1
```

2 | The following is a DFT calculation (PBE) of a relaxed LaMnBr2 crystal.

Summary:
- V: 108.5 Å³ per cell
- DOS(E_F): 1.95 states/eV per cell

Geometry as CIF:
```
data_LaMnBr2
_chemical_formula_sum 'La1 Mn1 Br2'
_cell_length_a 6.0814
_cell_length_b 6.0814
_cell_length_c 5.3281
_cell_angle_alpha 107.32
_cell_angle_beta 107.32
_cell_angle_gamma 35.41
_space_group_name_H-M_alt 'P 1'
_space_group_IT_number 1
_space_group_name_Hall 'P 1'
loop_
_atom_site_label
_atom_site_fract_x
_atom_site_fract_y
_atom_site_fract_z
_atom_site_occupancy
La1 0.0000 0.0000 0.0000 1
Mn1 0.6961 0.6961 0.4090 1
Br1 0.2523 0.2523 0.8584 1
Br2 0.4674 0.4674 0.4983 1
```

3 | The following is a DFT calculation (PBE) of a relaxed LaMnBr2 crystal.

Summary:
- V: 252.1 Å³ per cell
- DOS(E_F): 4.66 states/eV per cell

Geometry as CIF:
```
data_LaMnBr2
_chemical_formula_sum 'La2 Mn2 Br4'
_cell_length_a 7.9553
_cell_length_b 7.9553
_cell_length_c 7.9553
_cell_angle_alpha 134.51
_cell_angle_beta 134.51
_cell_angle_gamma 66.29
_space_group_name_H-M_alt 'P 1'
_space_group_IT_number 1
_space_group_name_Hall 'P 1'
loop_
_atom_site_label
_atom_site_fract_x
_atom_site_fract_y
_atom_site_fract_z
_atom_site_occupancy
La1 0.0000 0.0000 0.0000 1
La2 0.7500 0.2500 0.5000 1
Mn1 0.2500 0.7500 0.5000 1
Mn2 0.5000 0.5000 0.0000 1
Br1 0.2019 0.6250 0.0769 1
Br2 0.3750 0.4519 0.5769 1
Br3 0.5481 0.1250 0.9231 1
Br4 0.8750 0.7981 0.4231 1
```

Least stable structure: 3

1 | The following is a DFT calculation (PBE) of a relaxed LaMn3Br crystal.

Summary:
- V: 165.7 Å³ per cell
- DOS(E_F): 3.30 states/eV per cell

Geometry as CIF:
```
data_LaMn3Br
_chemical_formula_sum 'La1 Mn3 Br1'
_cell_length_a 5.4928
_cell_length_b 5.4928
_cell_length_c 5.4928
_cell_angle_alpha 90.00
_cell_angle_beta 90.00
_cell_angle_gamma 90.00
_space_group_name_H-M_alt 'P 1'
_space_group_IT_number 1
_space_group_name_Hall 'P 1'
loop_
_atom_site_label
_atom_site_fract_x
_atom_site_fract_y
_atom_site_fract_z
_atom_site_occupancy
La1 0.0000 0.0000 0.0000 1
Mn1 0.0000 0.0000 0.5000 1
Mn2 0.0000 0.5000 0.0000 1
Mn3 0.5000 0.0000 0.0000 1
Br1 0.5000 0.5000 0.5000 1
```

2 | The following is a DFT calculation (PBE) of a relaxed LaMn3Br crystal.

Summary:
- V: 89.2 Å³ per cell
- DOS(E_F): 18.20 states/eV per cell

Geometry as CIF:
```
data_LaMn3Br
_chemical_formula_sum 'La1 Mn3 Br1'
_cell_length_a 4.4689
_cell_length_b 4.4689
_cell_length_c 4.4689
_cell_angle_alpha 90.00
_cell_angle_beta 90.00
_cell_angle_gamma 90.00
_space_group_name_H-M_alt 'P 1'
_space_group_IT_number 1
_space_group_name_Hall 'P 1'
loop_
_atom_site_label
_atom_site_fract_x
_atom_site_fract_y
_atom_site_fract_z
_atom_site_occupancy
La1 0.0000 0.0000 0.0000 1
Mn1 0.0000 0.5000 0.5000 1
Mn2 0.5000 0.0000 0.5000 1
Mn3 0.5000 0.5000 0.0000 1
Br1 0.5000 0.5000 0.5000 1
```

Least stable structure: 1

1 | The following is a DFT calculation (PBE) of a relaxed LaMo3Br crystal.

Summary:
- V: 108.1 Å³ per cell
- DOS(E_F): 3.03 states/eV per cell

Geometry as CIF:
```
data_LaMo3Br
_chemical_formula_sum 'La1 Mo3 Br1'
_cell_length_a 4.7641
_cell_length_b 4.7641
_cell_length_c 4.7641
_cell_angle_alpha 90.00
_cell_angle_beta 90.00
_cell_angle_gamma 90.00
_space_group_name_H-M_alt 'P 1'
_space_group_IT_number 1
_space_group_name_Hall 'P 1'
loop_
_atom_site_label
_atom_site_fract_x
_atom_site_fract_y
_atom_site_fract_z
_atom_site_occupancy
La1 0.0000 0.0000 0.0000 1
Mo1 0.0000 0.5000 0.5000 1
Mo2 0.5000 0.0000 0.5000 1
Mo3 0.5000 0.5000 0.0000 1
Br1 0.5000 0.5000 0.5000 1
```

2 | The following is a DFT calculation (PBE) of a relaxed LaMo3Br crystal.

Summary:
- V: 117.3 Å³ per cell
- DOS(E_F): 8.82 states/eV per cell

Geometry as CIF:
```
data_LaMo3Br
_chemical_formula_sum 'La1 Mo3 Br1'
_cell_length_a 4.8949
_cell_length_b 4.8949
_cell_length_c 4.8949
_cell_angle_alpha 90.00
_cell_angle_beta 90.00
_cell_angle_gamma 90.00
_space_group_name_H-M_alt 'P 1'
_space_group_IT_number 1
_space_group_name_Hall 'P 1'
loop_
_atom_site_label
_atom_site_fract_x
_atom_site_fract_y
_atom_site_fract_z
_atom_site_occupancy
La1 0.0000 0.0000 0.0000 1
Mo1 0.0000 0.0000 0.5000 1
Mo2 0.0000 0.5000 0.0000 1
Mo3 0.5000 0.0000 0.0000 1
Br1 0.5000 0.5000 0.5000 1
```

Least stable structure: 2

1 | The following is a DFT calculation (PBE) of a relaxed LaMoBr crystal.

Summary:
- V: 75.9 Å³ per cell
- DOS(E_F): 2.80 states/eV per cell

Geometry as CIF:
```
data_LaMoBr
_chemical_formula_sum 'La1 Mo1 Br1'
_cell_length_a 6.7490
_cell_length_b 6.7490
_cell_length_c 6.7490
_cell_angle_alpha 150.16
_cell_angle_beta 150.16
_cell_angle_gamma 42.71
_space_group_name_H-M_alt 'P 1'
_space_group_IT_number 1
_space_group_name_Hall 'P 1'
loop_
_atom_site_label
_atom_site_fract_x
_atom_site_fract_y
_atom_site_fract_z
_atom_site_occupancy
La1 0.0000 0.0000 0.0000 1
Mo1 0.3405 0.3405 0.0000 1
Br1 0.6897 0.6897 0.0000 1
```

2 | The following is a DFT calculation (PBE) of a relaxed LaMoBr crystal.

Summary:
- V: 71.5 Å³ per cell
- DOS(E_F): 4.96 states/eV per cell

Geometry as CIF:
```
data_LaMoBr
_chemical_formula_sum 'La1 Mo1 Br1'
_cell_length_a 4.6589
_cell_length_b 4.6589
_cell_length_c 4.6589
_cell_angle_alpha 60.00
_cell_angle_beta 60.00
_cell_angle_gamma 60.00
_space_group_name_H-M_alt 'P 1'
_space_group_IT_number 1
_space_group_name_Hall 'P 1'
loop_
_atom_site_label
_atom_site_fract_x
_atom_site_fract_y
_atom_site_fract_z
_atom_site_occupancy
La1 0.0000 0.0000 0.0000 1
Mo1 0.2500 0.2500 0.2500 1
Br1 0.5000 0.5000 0.5000 1
```

Least stable structure: 2